! TaCr2Ag (SCAN, PBEsol geometry); values from VASP
&SYSTEM
  ibrav = 0, nat = 4, ntyp = 3
/
ATOMIC_SPECIES
Ta 180.95 Ta.upf
Cr 52.00 Cr.upf
Ag 107.87 Ag.upf
ATOMIC_POSITIONS crystal
Ta 0.0000 0.0000 0.0000
Cr 0.5000 0.5000 0.2535
Cr 0.5000 0.5000 0.7465
Ag 0.0000 0.0000 0.5000
CELL_PARAMETERS angstrom
2.6047 0.0000 0.0000
0.0000 2.6047 0.0000
0.0000 0.0000 8.4924
! Spin magnetization = 0.00 μB per formula unit
! Calculated formation energy = 0.585 eV per atom
! Energy above the lowest structure with this stoichiometry = 0.248 eV/atom